SrCuTcP: optimized geometry, PBE. Values from VASP.

Properties
Magnetic moment = 0.00 μB/f.u.
Total energy = -5.7671 eV per atom
Space group = P4/nmm, No. 129
Fermi-level density of states = 3.5 states/eV/f.u.

Quantum ESPRESSO input file:
```
&SYSTEM
  ibrav = 0, nat = 8, ntyp = 4
/
ATOMIC_SPECIES
Cu 63.55 Cu.upf
P 30.97 P.upf
Sr 87.62 Sr.upf
Tc 98.00 Tc.upf
ATOMIC_POSITIONS crystal
Cu 0.250 0.750 0.500
Cu 0.750 0.250 0.500
P 0.250 0.250 0.123
P 0.750 0.750 0.877
Sr 0.250 0.250 0.735
Sr 0.750 0.750 0.265
Tc 0.750 0.250 0.000
Tc 0.250 0.750 0.000
CELL_PARAMETERS angstrom
-2.681 -2.009 -2.060
1.224 -3.344 1.668
-7.234 1.378 8.069
```